Computed, not measured: crystalline Ba2Sr3 at its relaxed geometry at the PBE level of DFT.

a b c (Å): 4.3407 4.3407 53.3168
angles (deg): 90.00 90.00 120.00
Space group R-3m (No. 166, hexagonal axes)
Unique sites:
Ba 0.0000 0.0000 0.0995 (multiplicity 6)
Sr 0.0000 0.0000 0.3012 (multiplicity 6)
Sr 0.0000 0.0000 0.5000 (multiplicity 3)

Results
relative energy among the computed polymorphs	0.0	meV per atom
total energy	-26.43	eV per cell
formation energy from the elements	0.016	eV/atom
total magnetic moment	0.00	Bohr magnetons per cell
DOS(E_F)	7.49	states/eV/f.u.

=====

Computed, not measured: crystalline Ba7Sr6 at its relaxed geometry at the PBE level of DFT.

a b c (Å): 8.0615 8.0615 42.3380
angles (deg): 90.00 90.00 120.00
Space group R-3m (No. 166, hexagonal axes)
Unique sites:
Ba 0.0000 0.0000 0.0000 (multiplicity 3)
Ba 0.0035 0.5017 0.4125 (multiplicity 18)
Sr 0.0000 0.0000 0.1667 (multiplicity 6)
Sr 0.0000 0.0000 0.3510 (multiplicity 6)
Sr 0.0000 0.0000 0.4533 (multiplicity 6)

Results
total energy	-66.98	eV per cell
formation energy from the elements	0.094	eV/atom
total magnetic moment	0.00	Bohr magnetons per cell
DOS(E_F)	22.13	states/eV/f.u.

=====

Computed, not measured: crystalline Ba2Sr17 at its relaxed geometry at the PBE level of DFT.

a b c (Å): 13.7606 13.7606 20.6816
angles (deg): 90.00 90.00 120.00
Space group R-3m (No. 166, hexagonal axes)
Unique sites:
Ba 0.0000 0.0000 0.1775 (multiplicity 6)
Sr 0.0000 0.0000 0.4040 (multiplicity 6)
Sr 0.0000 0.3037 0.5000 (multiplicity 18)
Sr 0.0000 0.5000 0.0000 (multiplicity 9)
Sr 0.0015 0.5008 0.6543 (multiplicity 18)

Results
total energy	-92.19	eV per cell
formation energy from the elements	0.090	eV/atom
total magnetic moment	0.04	Bohr magnetons per cell
DOS(E_F)	23.56	states/eV/f.u.

=====

Computed, not measured: crystalline Ba7Sr5 at its relaxed geometry at the PBE level of DFT.

a b c (Å): 14.688 6.944 13.879
angles (deg): 90.00 90.04 90.00
Space group C2/m (No. 12)
Unique sites:
Ba 0.000 0.000 0.000 (multiplicity 2)
Ba 0.000 0.500 0.249 (multiplicity 4)
Ba 0.167 0.500 0.500 (multiplicity 4)
Ba 0.168 0.000 0.249 (multiplicity 4)
Sr 0.000 0.000 0.500 (multiplicity 2)
Sr 0.167 0.000 0.750 (multiplicity 4)
Sr 0.169 0.500 0.002 (multiplicity 4)

Results
relative energy among the computed polymorphs	0.0	meV per atom
total energy	-43.65	eV per cell
formation energy from the elements	0.003	eV/atom
total magnetic moment	0.00	Bohr magnetons per cell
DOS(E_F)	15.76	states/eV/f.u.